(1)
Material: TbPm6Er6
Method: DFT, PBE
State: relaxed

Calculated values
Size of the total moment   2.17 μB per formula unit
D(E_F)   27.145 states/eV/f.u.
Formation energy   0.2690 eV/atom

Geometry as CIF:
```
data_TbPm6Er6
_chemical_formula_sum 'Tb1 Pm6 Er6'
_space_group_name_H-M_alt 'P 6/m m m'
_space_group_IT_number 191
_space_group_name_Hall '-P 6 2'
_cell_length_a 6.7099
_cell_length_b 6.7099
_cell_length_c 11.3643
_cell_angle_alpha 90.00
_cell_angle_beta 90.00
_cell_angle_gamma 120.00
loop_
_atom_site_label
_atom_site_type_symbol
_atom_site_fract_x
_atom_site_fract_y
_atom_site_fract_z
Tb1 Tb 0.0000 0.0000 0.0000
Pm1 Pm 0.0000 0.0000 0.3430
Pm2 Pm 0.3333 0.6667 0.0000
Pm3 Pm 0.3333 0.6667 0.5000
Er1 Er 0.0000 0.5000 0.2455
```

=====

(2)
Material: Rb2U2AgTe6
Method: DFT, PBE
State: relaxed

Calculated values
Size of the total moment   3.00 μB per formula unit
D(E_F)   10.527 states/eV/f.u.
Raw formation energy   -712 kJ/mol of formula units

Geometry as CIF:
```
data_Rb2U2AgTe6
_chemical_formula_sum 'Rb4 U4 Ag2 Te12'
_space_group_name_H-M_alt 'C 1 2/m 1'
_space_group_IT_number 12
_space_group_name_Hall '-C 2y'
_cell_length_a 7.655
_cell_length_b 13.151
_cell_length_c 9.075
_cell_angle_alpha 90.00
_cell_angle_beta 105.56
_cell_angle_gamma 90.00
loop_
_atom_site_label
_atom_site_type_symbol
_atom_site_fract_x
_atom_site_fract_y
_atom_site_fract_z
Rb1 Rb 0.000 0.163 0.000
U1 U 0.000 0.333 0.500
Ag1 Ag 0.000 0.000 0.500
Te1 Te 0.212 0.500 0.698
Te2 Te 0.234 0.169 0.694
```

=====

(3)
Material: Hf2Zr2As3
Method: DFT, PBE
State: relaxed

Calculated values
Size of the total moment   0.00 μB per formula unit
D(E_F)   4.353 states/eV/f.u.
Formation energy   -0.7774 eV/atom

Geometry as CIF:
```
data_Hf2Zr2As3
_chemical_formula_sum 'Hf2 Zr2 As3'
_space_group_name_H-M_alt 'P -1'
_space_group_IT_number 2
_space_group_name_Hall '-P 1'
_cell_length_a 3.759
_cell_length_b 6.444
_cell_length_c 6.489
_cell_angle_alpha 81.13
_cell_angle_beta 73.23
_cell_angle_gamma 89.98
loop_
_atom_site_label
_atom_site_type_symbol
_atom_site_fract_x
_atom_site_fract_y
_atom_site_fract_z
Hf1 Hf 0.114 0.389 0.273
Zr1 Zr 0.373 0.139 0.755
As1 As 0.000 0.000 0.500
As2 As 0.262 0.744 0.975
```